DFT (PBE-GGA) results for crystalline Li2AgW at its relaxed geometry.

Cell and atoms, written as POSCAR:
```
Li2AgW
1.0
2.601 0.000 0.000
0.000 4.572 0.000
-0.762 0.000 5.376
Li Ag W
2 1 1
direct
0.000 0.000 0.000 Li
0.244 0.500 0.796 Li
0.310 0.000 0.505 Ag
0.724 0.500 0.300 W
```

ρ	7.94	g/cm3
volume	15.983	Å³ per atom
relative energy among the computed polymorphs	238	meV per atom
DFT formation energy	0.4533	eV/atom
DFT total energy	-4.4547	eV per atom